11
Lattice="3.8503 -6.6637 0.0000 3.8503 6.6637 0.0000 -2.5853 0.0000 9.1995" Properties=species:S:1:pos:R:3 comment="Cs2TmU2Te6 (PBE-GGA, relaxed)" raw_formation_energy_ev_per_atom=-1.00 pbc="T T T"
Cs 3.8503 4.4381 0.0000
Cs 3.8503 -4.4381 0.0000
Tm -1.2926 0.0000 4.5998
U 2.5576 2.2282 4.5998
U 2.5576 -2.2282 4.5998
Te -0.0140 2.1903 6.3351
Te 1.2617 0.0000 2.8727
Te -0.0140 -2.1903 6.3351
Te 5.1293 2.1903 2.8644
Te 3.8535 0.0000 6.3268
Te 5.1293 -2.1903 2.8644